Record 1
MnBBrN2: optimized geometry, PBEsol.

```
data_MnBBrN2
_chemical_formula_sum 'Mn1 B1 Br1 N2'
_cell_length_a 3.488
_cell_length_b 3.488
_cell_length_c 4.824
_cell_angle_alpha 90.00
_cell_angle_beta 90.00
_cell_angle_gamma 90.00
_space_group_name_H-M_alt 'P 4/m m m'
_space_group_IT_number 123
_space_group_name_Hall '-P 4 2'
loop_
_atom_site_label
_atom_site_type_symbol
_atom_site_fract_x
_atom_site_fract_y
_atom_site_fract_z
Mn1 Mn 0.000 0.000 0.000
B1 B 0.000 0.000 0.500
Br1 Br 0.500 0.500 0.500
N1 N 0.000 0.500 0.000
```

Output
The calculation puts the raw total energy at -30.70 eV per cell. The calculation puts the total magnetization at 0.01 μB/cell. The calculation puts the energy relative to the elements, uncorrected at 1.000 eV/atom.

---

Record 2
Y5Te3: optimized geometry, PBEsol.

```
data_Y5Te3
_chemical_formula_sum 'Y10 Te6'
_cell_length_a 8.9021
_cell_length_b 8.9021
_cell_length_c 6.0691
_cell_angle_alpha 90.00
_cell_angle_beta 90.00
_cell_angle_gamma 120.00
_space_group_name_H-M_alt 'P 63/m c m'
_space_group_IT_number 193
_space_group_name_Hall '-P 6c 2'
loop_
_atom_site_label
_atom_site_type_symbol
_atom_site_fract_x
_atom_site_fract_y
_atom_site_fract_z
Y1 Y 0.0000 0.2561 0.2500
Y2 Y 0.3333 0.6667 0.0000
Te1 Te 0.0000 0.3851 0.7500
```

Output
The calculation puts the raw total energy at -106.14 eV per cell. The calculation puts the total magnetization at 0.00 μB/cell. The calculation puts the energy relative to the elements, uncorrected at -1.048 eV/atom.

---

Record 3
CrTcCl: optimized geometry, PBEsol.

```
data_CrTcCl
_chemical_formula_sum 'Cr2 Tc2 Cl2'
_cell_length_a 2.811
_cell_length_b 2.811
_cell_length_c 9.895
_cell_angle_alpha 90.00
_cell_angle_beta 90.00
_cell_angle_gamma 90.00
_space_group_name_H-M_alt 'I 4 m m'
_space_group_IT_number 107
_space_group_name_Hall 'I 4 -2'
loop_
_atom_site_label
_atom_site_type_symbol
_atom_site_fract_x
_atom_site_fract_y
_atom_site_fract_z
Cr1 Cr 0.000 0.000 0.000
Tc1 Tc 0.000 0.000 0.655
Cl1 Cl 0.000 0.000 0.340
```

Output
The calculation puts the raw total energy at -45.11 eV per cell. The calculation puts the total magnetization at 0.00 μB/cell. The calculation puts the energy relative to the elements, uncorrected at 0.320 eV/atom.